Entry 1:
A relaxed structure of CsSmCdTe3. Source: Alexandria, functional PBE.

CIF file:
```
data_CsSmCdTe3
_chemical_formula_sum 'Cs4 Sm4 Cd4 Te12'
_symmetry_space_group_name_H-M 'C m c m'
_symmetry_Int_Tables_number 63
_symmetry_space_group_name_Hall '-C 2c 2'
_cell_length_a 4.600
_cell_length_b 17.347
_cell_length_c 12.021
_cell_angle_alpha 90.00
_cell_angle_beta 90.00
_cell_angle_gamma 90.00
loop_
_atom_site_label
_atom_site_fract_x
_atom_site_fract_y
_atom_site_fract_z
_atom_site_occupancy
Cs1 0.000 0.250 0.250 1
Sm1 0.000 0.000 0.000 1
Cd1 0.000 0.464 0.750 1
Te1 0.000 0.066 0.750 1
Te2 0.000 0.378 0.550 1
```

Output
Raw formation energy in eV per atom: -1.108
D(E_F) in states/eV per atom: 0.0000

Entry 2:
A relaxed structure of Cs3Sm2CdTe6. Source: Alexandria, functional PBE.

CIF file:
```
data_Cs3Sm2CdTe6
_chemical_formula_sum 'Cs6 Sm4 Cd2 Te12'
_symmetry_space_group_name_H-M 'C 1 2/m 1'
_symmetry_Int_Tables_number 12
_cell_length_a 7.939
_cell_length_b 13.745
_cell_length_c 9.383
_cell_angle_alpha 90.00
_cell_angle_beta 106.39
_cell_angle_gamma 90.00
loop_
_symmetry_equiv_pos_as_xyz
'x,y,z'
'-x,-y,-z'
'-x,y,-z'
'x,-y,z'
'x+1/2,y+1/2,z'
'-x+1/2,-y+1/2,-z'
'-x+1/2,y+1/2,-z'
'x+1/2,-y+1/2,z'
loop_
_atom_site_label
_atom_site_fract_x
_atom_site_fract_y
_atom_site_fract_z
_atom_site_occupancy
Cs1 0.000 0.000 0.000 1
Cs2 0.000 0.333 0.000 1
Sm1 0.000 0.167 0.500 1
Cd1 0.000 0.500 0.500 1
Te1 0.229 0.335 0.691 1
Te2 0.233 0.000 0.692 1
```

Output
Raw formation energy in eV per atom: -1.058
D(E_F) in states/eV per atom: 0.9380

Entry 3:
A relaxed structure of CsSmCdTe3. Source: Alexandria, functional PBE.

CIF file:
```
data_CsSmCdTe3
_chemical_formula_sum 'Cs2 Sm2 Cd2 Te6'
_symmetry_space_group_name_H-M 'P 1 21/m 1'
_symmetry_Int_Tables_number 11
_cell_length_a 10.237
_cell_length_b 4.613
_cell_length_c 11.234
_cell_angle_alpha 90.00
_cell_angle_beta 110.61
_cell_angle_gamma 90.00
loop_
_symmetry_equiv_pos_as_xyz
'x,y,z'
'-x,-y,-z'
'-x,y+1/2,-z'
'x,-y+1/2,z'
loop_
_atom_site_label
_atom_site_fract_x
_atom_site_fract_y
_atom_site_fract_z
_atom_site_occupancy
Cs1 0.220 0.250 0.247 1
Sm1 0.327 0.750 0.866 1
Cd1 0.083 0.250 0.612 1
Te1 0.114 0.250 0.871 1
Te2 0.218 0.750 0.548 1
Te3 0.474 0.750 0.158 1
```

Output
Raw formation energy in eV per atom: -1.092
D(E_F) in states/eV per atom: 0.0000

Entry 4:
A relaxed structure of Cs2CdSn. Source: Alexandria, functional PBE.

CIF file:
```
data_Cs2CdSn
_chemical_formula_sum 'Cs6 Cd3 Sn3'
_symmetry_space_group_name_H-M 'R -3 m'
_symmetry_Int_Tables_number 166
_symmetry_space_group_name_Hall '-R 3 2"'
_cell_length_a 4.0524
_cell_length_b 4.0524
_cell_length_c 40.8933
_cell_angle_alpha 90.00
_cell_angle_beta 90.00
_cell_angle_gamma 120.00
loop_
_atom_site_label
_atom_site_fract_x
_atom_site_fract_y
_atom_site_fract_z
_atom_site_occupancy
Cs1 0.0000 0.0000 0.0909 1
Cd1 0.0000 0.0000 0.5000 1
Sn1 0.0000 0.0000 0.0000 1
```

Output
ΔE_f in eV per atom: 0.3539
D(E_F) in states/eV per atom: 0.8853

Entry 5:
A relaxed structure of CsCd2Sn. Source: Alexandria, functional PBE.

CIF file:
```
data_CsCd2Sn
_chemical_formula_sum 'Cs1 Cd2 Sn1'
_symmetry_space_group_name_H-M 'P 4/m m m'
_symmetry_Int_Tables_number 123
_symmetry_space_group_name_Hall '-P 4 2'
_cell_length_a 3.961
_cell_length_b 3.961
_cell_length_c 8.849
_cell_angle_alpha 90.00
_cell_angle_beta 90.00
_cell_angle_gamma 90.00
loop_
_atom_site_label
_atom_site_fract_x
_atom_site_fract_y
_atom_site_fract_z
_atom_site_occupancy
Cs1 0.000 0.000 0.000 1
Cd1 0.500 0.500 0.318 1
Sn1 0.000 0.000 0.500 1
```

Output
ΔE_f in eV per atom: 0.0525
D(E_F) in states/eV per atom: 0.9193

Entry 6:
A relaxed structure of Cs2CdSn7. Source: Alexandria, functional PBE.

CIF file:
```
data_Cs2CdSn7
_chemical_formula_sum 'Cs2 Cd1 Sn7'
_symmetry_space_group_name_H-M 'P -4 m 2'
_symmetry_Int_Tables_number 115
_cell_length_a 5.225
_cell_length_b 5.225
_cell_length_c 12.905
_cell_angle_alpha 90.00
_cell_angle_beta 90.00
_cell_angle_gamma 90.00
loop_
_symmetry_equiv_pos_as_xyz
'x,y,z'
'y,-x,-z'
'-x,-y,z'
'-y,x,-z'
'-x,y,z'
'-y,-x,-z'
'x,-y,z'
'y,x,-z'
loop_
_atom_site_label
_atom_site_fract_x
_atom_site_fract_y
_atom_site_fract_z
_atom_site_occupancy
Cs1 0.000 0.500 0.247 1
Cd1 0.500 0.500 0.000 1
Sn1 0.000 0.000 0.000 1
Sn2 0.000 0.000 0.500 1
Sn3 0.000 0.500 0.626 1
Sn4 0.000 0.500 0.877 1
Sn5 0.500 0.500 0.500 1
```

Output
ΔE_f in eV per atom: -0.1504
D(E_F) in states/eV per atom: 0.3466